Record 1
This record from Alexandria via LeMat-Bulk describes a geometry-optimized CrReW2 structure. The functional is GGA-PBEsol.

Output
ΔE to the lowest computed polymorph	38	meV per atom
SG	P4mm
DFT total energy	-50.87	eV/cell
formation energy	0.0792	eV/atom
Fermi-level density of states	3.3	states/eV per cell

```
4
Lattice="3.062 0.000 0.000 0.000 3.062 0.000 0.000 0.000 6.142" Properties=species:S:1:pos:R:3 pbc="T T T"
Cr 0.000 0.000 0.000
Re 1.531 1.531 1.542
W 0.000 0.000 3.085
W 1.531 1.531 4.742
```



Record 2
This record from Alexandria via LeMat-Bulk describes a geometry-optimized MoRh2 structure. The functional is GGA-PBEsol.

Output
SG	Pnma
DFT total energy	-115.40	eV/cell
formation energy	-0.2681	eV/atom
Fermi-level density of states	6.6	states/eV per cell

```
12
Lattice="4.719 0.000 0.000 0.000 4.315 0.000 0.000 0.000 8.211" Properties=species:S:1:pos:R:3 pbc="T T T"
Mo 0.798 1.079 1.287
Mo 1.562 3.236 5.392
Mo 3.157 1.079 2.819
Mo 3.922 3.236 6.925
Rh 0.757 1.079 6.812
Rh 0.786 1.079 4.056
Rh 1.574 3.236 8.162
Rh 1.603 3.236 2.706
Rh 3.117 1.079 5.505
Rh 3.146 1.079 0.050
Rh 3.933 3.236 4.156
Rh 3.962 3.236 1.400
```